Sm2Dy2Ru3 | GGA-PBE | optimized geometry

The space group is C2/m (No. 12) and the conventional cell measures 8.4537, 4.8811 and 8.2469 Å, with angles of 90.00, 109.95 and 90.00 degrees. The asymmetric unit holds Sm at (0.1242, 0.0000, 0.3744), Dy at (0.1255, 0.5000, 0.8757), Ru at (0.0000, 0.0000, 0.0000) and Ru at (0.2472, 0.5000, 0.2425).

As for the energy relative to the elements: -22 kJ/mol of atoms. The calculation puts the relative energy among the computed polymorphs at 0.0293 eV per atom. The mass density comes out at 9.64 g/cm3.